[1]
Below is a relaxed Ba5Ga2Sn crystal, with properties calculated at the PBE level.

abc: 10.6339 10.6339 10.6339
angles: 130.97 130.97 71.87
Positions (direct):
Ba: 0.0000 0.0000 0.0000
Ba: 0.0381 0.5381 0.8625
Ba: 0.1756 0.0381 0.5000
Ba: 0.3244 0.8244 0.8625
Ba: 0.4619 0.3244 0.5000
Ba: 0.5000 0.5000 0.0000
Ba: 0.5381 0.6756 0.5000
Ba: 0.6756 0.1756 0.1375
Ba: 0.8244 0.9619 0.5000
Ba: 0.9619 0.4619 0.1375
Ga: 0.1019 0.3981 0.5000
Ga: 0.3981 0.8981 0.2961
Ga: 0.6019 0.1019 0.7039
Ga: 0.8981 0.6019 0.5000
Sn: 0.2500 0.2500 0.0000
Sn: 0.7500 0.7500 0.0000

---

[2]
Below is a relaxed BaGa2Sn4 crystal, with properties calculated at the PBE level.

abc: 8.0086 8.0086 5.2509
angles: 90.00 90.00 143.55
Positions (direct):
Ba: 0.0000 0.0000 0.0000
Ga: 0.4154 0.5846 0.5000
Ga: 0.5846 0.4154 0.5000
Sn: 0.1805 0.8195 0.5000
Sn: 0.3103 0.6897 0.0000
Sn: 0.6897 0.3103 0.0000
Sn: 0.8195 0.1805 0.5000

---

[3]
Below is a relaxed BaGaSn3 crystal, with properties calculated at the PBE level.

abc: 9.0685 9.0685 7.1199
angles: 90.00 90.00 147.40
Positions (direct):
Ba: 0.1011 0.8989 0.7500
Ba: 0.8989 0.1011 0.2500
Ga: 0.4615 0.5385 0.7500
Ga: 0.5385 0.4615 0.2500
Sn: 0.1131 0.8869 0.2500
Sn: 0.3006 0.6994 0.5401
Sn: 0.3006 0.6994 0.9599
Sn: 0.6994 0.3006 0.0401
Sn: 0.6994 0.3006 0.4599
Sn: 0.8869 0.1131 0.7500

Values from the calculation:
The value obtained for the energy above the most stable polymorph in this dataset is 67 meV per atom.

---

These records have volume values of 671; 200; 315 Å³ per cell, in the order they appear.
These records have energy of formation values of -0.41; -0.20; -0.28 eV/atom, in the order they appear.
These records have density of states at the Fermi level values of 0.776; 0.503; 0.374 states/eV/atom, in the order they appear.